# Ta4Ti5Nb2 PBE optimized geometry
data_Ta4Ti5Nb2
_chemical_formula_sum 'Ta4 Ti5 Nb2'
_cell_length_a 2.8515
_cell_length_b 7.1703
_cell_length_c 9.7350
_cell_angle_alpha 92.30
_cell_angle_beta 95.13
_cell_angle_gamma 99.30
_symmetry_space_group_name_H-M 'P -1'
_symmetry_Int_Tables_number 2
_symmetry_space_group_name_Hall '-P 1'
loop_
_atom_site_label
_atom_site_fract_x
_atom_site_fract_y
_atom_site_fract_z
Ta1 0.2048 0.1380 0.4094
Ta2 0.2835 0.9603 0.8640
Ti1 0.0000 0.5000 0.5000
Ti2 0.1209 0.3164 0.9644
Ti3 0.3514 0.5955 0.7725
Nb1 0.3672 0.7650 0.3153
# Crystal system ... triclinic
# Raw total energy ... -106.53 eV/cell
# Fermi-level density of states ... 17.7 states/eV/f.u.